Record 1
! SCAN LaHgSb2, PBEsol geometry; values from VASP
&SYSTEM
  ibrav = 0, nat = 4, ntyp = 3
/
ATOMIC_SPECIES
Sb 121.76 Sb.upf
Hg 200.59 Hg.upf
La 138.91 La.upf
CELL_PARAMETERS angstrom
4.607 0.000 0.000
0.000 4.607 0.000
-2.303 -2.303 5.004
ATOMIC_POSITIONS angstrom
Sb 2.303 0.000 2.502
Sb 0.000 2.303 2.502
Hg 2.303 2.303 0.000
La 0.000 0.000 0.000
! SG: I4/mmm, No. 139
! formation energy (no corrections): -2.83 eV per formula unit
! raw total energy: -47.16 eV/atom

---

Record 2
! SCAN LaHgSb2, PBEsol geometry; values from VASP
&SYSTEM
  ibrav = 0, nat = 4, ntyp = 3
/
ATOMIC_SPECIES
Hg 200.59 Hg.upf
La 138.91 La.upf
Sb 121.76 Sb.upf
CELL_PARAMETERS angstrom
-1.564 -2.697 -1.120
3.541 -0.282 -4.267
3.591 -3.419 3.205
ATOMIC_POSITIONS angstrom
Hg 0.750 -3.826 0.875
La 2.138 -1.553 -1.735
Sb -1.009 -2.193 -0.693
Sb 3.137 -4.582 -0.706
! SG: Pm, No. 6
! formation energy (no corrections): -2.12 eV per formula unit
! raw total energy: -46.98 eV/atom

---

Record 3
! SCAN LaHgSb2, PBEsol geometry; values from VASP
&SYSTEM
  ibrav = 0, nat = 4, ntyp = 3
/
ATOMIC_SPECIES
Sb 121.76 Sb.upf
Hg 200.59 Hg.upf
La 138.91 La.upf
CELL_PARAMETERS angstrom
-1.644 -4.097 -1.487
-1.304 -1.082 4.422
-4.234 1.977 -0.765
ATOMIC_POSITIONS angstrom
Sb -2.117 0.989 -0.383
Sb -0.652 -0.541 2.211
Hg -3.591 -1.601 1.085
La -0.822 -2.048 -0.744
! SG: P4/mmm, No. 123
! formation energy (no corrections): -2.80 eV per formula unit
! raw total energy: -47.15 eV/atom

---

Record 4
! SCAN La2ScHg, PBEsol geometry; values from VASP
&SYSTEM
  ibrav = 0, nat = 4, ntyp = 3
/
ATOMIC_SPECIES
Sc 44.96 Sc.upf
Hg 200.59 Hg.upf
La 138.91 La.upf
CELL_PARAMETERS angstrom
3.700 0.000 0.000
0.000 4.458 0.000
0.000 0.000 6.813
ATOMIC_POSITIONS angstrom
Sc 1.850 2.229 0.000
Hg 1.850 2.229 3.407
La 0.000 0.000 5.041
La 0.000 0.000 1.773
! SG: Pmmm, No. 47
! ΔH_f (0 K): -109 kJ/mol of formula units
! raw total energy: -42.44 eV/atom

---

Record 5
! SCAN La2ScHg2, PBEsol geometry; values from VASP
&SYSTEM
  ibrav = 0, nat = 10, ntyp = 3
/
ATOMIC_SPECIES
Sc 44.96 Sc.upf
Hg 200.59 Hg.upf
La 138.91 La.upf
CELL_PARAMETERS angstrom
4.003 0.000 0.000
0.000 8.395 0.000
0.000 0.000 8.395
ATOMIC_POSITIONS angstrom
Sc 0.000 0.000 0.000
Sc 0.000 4.198 4.198
Hg 0.000 3.112 7.310
Hg 0.000 7.310 5.284
Hg 0.000 5.284 1.086
Hg 0.000 1.086 3.112
La 2.002 1.437 5.635
La 2.002 5.635 6.958
La 2.002 6.958 2.761
La 2.002 2.761 1.437
! SG: P4/mbm, No. 127
! ΔH_f (0 K): -256 kJ/mol of formula units
! raw total energy: -47.89 eV/atom

---

Record 6
! SCAN LaScHg2, PBEsol geometry; values from VASP
&SYSTEM
  ibrav = 0, nat = 4, ntyp = 3
/
ATOMIC_SPECIES
Sc 44.96 Sc.upf
Hg 200.59 Hg.upf
La 138.91 La.upf
CELL_PARAMETERS angstrom
3.528 0.000 0.000
0.000 3.528 0.000
0.000 0.000 7.716
ATOMIC_POSITIONS angstrom
Sc 1.764 1.764 3.858
Hg 0.000 0.000 5.486
Hg 0.000 0.000 2.230
La 1.764 1.764 0.000
! SG: P4/mmm, No. 123
! ΔH_f (0 K): -262 kJ/mol of formula units
! raw total energy: -49.10 eV/atom
! distance to the lowest polymorph of the same formula: 0 meV/atom

---

Record 7
! SCAN LaScHg, PBEsol geometry; values from VASP
&SYSTEM
  ibrav = 0, nat = 3, ntyp = 3
/
ATOMIC_SPECIES
Hg 200.59 Hg.upf
La 138.91 La.upf
Sc 44.96 Sc.upf
CELL_PARAMETERS angstrom
4.851 0.000 0.000
2.426 4.201 0.000
2.426 1.400 3.961
ATOMIC_POSITIONS angstrom
Hg 0.000 0.000 0.000
La 4.851 2.801 1.980
Sc 2.426 1.400 0.990
! SG: F-43m, No. 216
! ΔH_f (0 K): -4 kJ/mol of formula units
! raw total energy: -41.85 eV/atom
! distance to the lowest polymorph of the same formula: 586 meV/atom

---

Record 8
! SCAN La2ScHg, PBEsol geometry; values from VASP
&SYSTEM
  ibrav = 0, nat = 4, ntyp = 3
/
ATOMIC_SPECIES
Sc 44.96 Sc.upf
Hg 200.59 Hg.upf
La 138.91 La.upf
CELL_PARAMETERS angstrom
-3.400 0.436 -1.073
-1.148 -1.705 2.946
-0.357 7.344 4.111
ATOMIC_POSITIONS angstrom
Sc -0.192 3.945 2.209
Hg -2.530 4.622 3.879
La -0.349 7.169 4.013
La -2.371 1.355 2.050
! SG: P4mm, No. 99
! ΔH_f (0 K): -124 kJ/mol of formula units
! raw total energy: -42.47 eV/atom

---

Record 9
! SCAN LaScHg, PBEsol geometry; values from VASP
&SYSTEM
  ibrav = 0, nat = 6, ntyp = 3
/
ATOMIC_SPECIES
Sc 44.96 Sc.upf
Hg 200.59 Hg.upf
La 138.91 La.upf
CELL_PARAMETERS angstrom
-1.993 -3.975 -1.508
-1.277 -1.029 4.400
-6.392 3.590 -1.016
ATOMIC_POSITIONS angstrom
Sc -3.196 1.795 -0.508
Sc -4.831 -0.707 0.938
Hg -5.252 2.077 1.467
Hg -2.775 -0.988 -1.037
La -1.494 -0.034 2.064
La -6.532 1.122 -1.634
! SG: P4/nmm, No. 129
! ΔH_f (0 K): -174 kJ/mol of formula units
! raw total energy: -42.44 eV/atom
! distance to the lowest polymorph of the same formula: 0 meV/atom

---

Record 10
! SCAN La2ScHg, PBEsol geometry; values from VASP
&SYSTEM
  ibrav = 0, nat = 4, ntyp = 3
/
ATOMIC_SPECIES
Sc 44.96 Sc.upf
Hg 200.59 Hg.upf
La 138.91 La.upf
CELL_PARAMETERS angstrom
3.570 0.000 0.000
0.000 5.030 0.000
-1.785 0.000 6.319
ATOMIC_POSITIONS angstrom
Sc 1.785 0.000 2.432
Hg 1.785 2.515 0.784
La 1.785 0.000 5.895
La 0.000 2.515 3.615
! SG: Amm2, No. 38
! ΔH_f (0 K): -120 kJ/mol of formula units
! raw total energy: -42.46 eV/atom

---

Record 11
! SCAN La4ScHg, PBEsol geometry; values from VASP
&SYSTEM
  ibrav = 0, nat = 6, ntyp = 3
/
ATOMIC_SPECIES
Hg 200.59 Hg.upf
La 138.91 La.upf
Sc 44.96 Sc.upf
CELL_PARAMETERS angstrom
-2.857 4.397 -3.635
0.278 -0.447 -6.358
-5.231 -1.517 -3.323
ATOMIC_POSITIONS angstrom
Hg 0.000 0.000 0.000
La -2.924 0.911 -4.986
La -5.552 0.149 -6.655
La -4.359 3.119 -6.812
La -2.785 0.686 -8.180
Sc -5.857 1.825 -9.987
! SG: F-43m, No. 216
! ΔH_f (0 K): 143 kJ/mol of formula units
! raw total energy: -42.22 eV/atom

---

Record 12
! SCAN LaSc3Hg, PBEsol geometry; values from VASP
&SYSTEM
  ibrav = 0, nat = 5, ntyp = 3
/
ATOMIC_SPECIES
Sc 44.96 Sc.upf
Hg 200.59 Hg.upf
La 138.91 La.upf
CELL_PARAMETERS angstrom
-0.156 0.769 5.227
-4.843 -2.110 0.166
2.110 -4.785 0.767
ATOMIC_POSITIONS angstrom
Sc -2.422 -1.055 0.083
Sc 1.055 -2.392 0.383
Sc -0.078 0.384 2.614
Hg 0.000 0.000 0.000
La -1.444 -3.063 3.080
! SG: Pm-3m, No. 221
! ΔH_f (0 K): 15 kJ/mol of formula units
! raw total energy: -30.76 eV/atom